# LiFe2F7 (PBE with a Hubbard U, optimized geometry)
data_LiFe2F7
_cell_length_a 12.899
_cell_length_b 5.066
_cell_length_c 7.419
_cell_angle_alpha 90.00
_cell_angle_beta 95.35
_cell_angle_gamma 90.00
_space_group_name_H-M_alt 'P 1 21/c 1'
_space_group_IT_number 14
loop_
_space_group_symop_operation_xyz
'x,y,z'
'-x,-y,-z'
'-x,y+1/2,-z+1/2'
'x,-y+1/2,z+1/2'
loop_
_atom_site_label
_atom_site_type_symbol
_atom_site_fract_x
_atom_site_fract_y
_atom_site_fract_z
Li1 Li 0.080 0.245 0.326
Fe1 Fe 0.181 0.743 0.642
Fe2 Fe 0.393 0.249 0.719
F1 F 0.056 0.575 0.184
F2 F 0.111 0.071 0.064
F3 F 0.178 0.598 0.897
F4 F 0.262 0.056 0.742
F5 F 0.316 0.564 0.633
F6 F 0.393 0.129 0.469
F7 F 0.476 0.559 0.301
# Total moment ... 9.99 μB/f.u.
# E_tot ... -5.1894 eV per atom